{"formula": "Si4PbW", "functional": "SCAN", "state": "PBEsol geometry", "spacegroup": "F-43m, No. 216", "lattice_angstrom": [[5.1304, 0.0000, 0.0000], [2.5652, 4.4431, 0.0000], [2.5652, 1.4810, 4.1890]], "species": ["Si", "Si", "Si", "Si", "Pb", "W"], "fractional_positions": [[0.8717, 0.3761, 0.3761], [0.3761, 0.8717, 0.3761], [0.3761, 0.3761, 0.3761], [0.3761, 0.3761, 0.8717], [0.0000, 0.0000, 0.0000], [0.7500, 0.7500, 0.7500]]}

***

{"formula": "Si2PbW", "functional": "SCAN", "state": "PBEsol geometry", "spacegroup": "Pmmm, No. 47", "lattice_angstrom": [[-0.6469, -2.6321, -1.9934], [-2.4427, -1.8268, 3.2047], [-3.7904, 2.1790, -1.6470]], "species": ["Pb", "W", "Si", "Si"], "fractional_positions": [[0.0000, 0.5000, 0.5000], [0.5000, 0.5000, 0.0000], [0.5000, 0.0000, 0.5000], [0.0000, 0.0000, 0.0000]]}

***

{"formula": "YSiPb2", "functional": "SCAN", "state": "PBEsol geometry", "spacegroup": "R-3m, No. 166", "lattice_angstrom": [[-2.8197, 1.7889, 1.5374], [-3.4523, -0.9194, -0.8667], [-2.1932, -5.5150, 6.7900]], "species": ["Pb", "Y", "Pb", "Si"], "fractional_positions": [[0.2386, 0.2386, 0.2842], [0.0000, 0.0000, 0.0000], [0.7614, 0.7614, 0.7158], [0.5000, 0.5000, 0.5000]]}

***

{"formula": "Y2SiPb", "functional": "SCAN", "state": "PBEsol geometry", "spacegroup": "Imm2, No. 44", "de_polymorph_ev_per_fu": 0.11, "lattice_angstrom": [[-0.9746, -3.8799, 1.2747], [2.2847, -1.6694, -3.3345], [3.6613, 2.6779, 4.0358]], "species": ["Pb", "Si", "Y", "Y"], "fractional_positions": [[0.5080, 0.5080, 0.0161], [0.2442, 0.7442, 0.4883], [0.9970, 0.9970, 0.9940], [0.7508, 0.2508, 0.5016]]}

***

What energy relative to the elements, uncorrected values result from the calculations? In sequence: 93.2; 110.6; 8.9; -59.4 kJ per mole of atoms.
What DFT total energy values result from the calculations? In sequence: -1.10088; -1.47837; -1.73689; -1.32247 Ha/atom.